Record 1
Below is crystalline NaNp at its relaxed geometry, with properties calculated at the PBE level.

Cell: 4.533 4.533 4.533 Å, 60.00 60.00 60.00°
Element x y z (fractional)
Na  0.000  0.000  0.000
Np  0.500  0.500  0.500

Summary:
Its symmetry is Fm-3m (225). The value obtained for the offset from the most stable computed form is 1112.9 meV/atom.

Record 2
Below is crystalline NaNp at its relaxed geometry, with properties calculated at the PBE level.

Cell: 5.038 5.038 5.038 Å, 60.00 60.00 60.00°
Element x y z (fractional)
Np  0.250  0.250  0.250
Na  0.000  0.000  0.000

Summary:
Its symmetry is F-43m (216). The value obtained for the offset from the most stable computed form is 1775.6 meV/atom.

Record 3
Below is crystalline NaNpPa at its relaxed geometry, with properties calculated at the PBE level.

Cell: 4.816 4.816 4.816 Å, 60.00 60.00 60.00°
Element x y z (fractional)
Pa  0.750  0.750  0.750
Np  0.000  0.000  0.000
Na  0.250  0.250  0.250

Summary:
Its symmetry is F-43m (216). The value obtained for the offset from the most stable computed form is 0.0 meV/atom.

Record 4
Below is crystalline NaNpPd at its relaxed geometry, with properties calculated at the PBE level.

Cell: 4.787 4.787 4.787 Å, 60.00 60.00 60.00°
Element x y z (fractional)
Np  0.000  0.000  0.000
Na  0.500  0.500  0.500
Pd  0.250  0.250  0.250

Summary:
Its symmetry is F-43m (216). The value obtained for the offset from the most stable computed form is 0.0 meV/atom.

Record 5
Below is crystalline NaPrNp at its relaxed geometry, with properties calculated at the PBE level.

Cell: 5.270 5.270 5.270 Å, 60.00 60.00 60.00°
Element x y z (fractional)
Na  0.000  0.000  0.000
Pr  0.750  0.750  0.750
Np  0.250  0.250  0.250

Summary:
Its symmetry is F-43m (216). The value obtained for the offset from the most stable computed form is 0.0 meV/atom.

Record 6
Below is crystalline NaPuNp at its relaxed geometry, with properties calculated at the PBE level.

Cell: 4.964 4.964 4.964 Å, 60.00 60.00 60.00°
Element x y z (fractional)
Np  0.750  0.750  0.750
Pu  0.000  0.000  0.000
Na  0.250  0.250  0.250

Summary:
Its symmetry is F-43m (216). The value obtained for the offset from the most stable computed form is 0.0 meV/atom.

Record 7
Below is crystalline RbNaNpS3 at its relaxed geometry, with properties calculated at the PBE level.

Cell: 7.644 7.644 10.866 Å, 90.00 90.00 148.14°
Element x y z (fractional)
S  0.884  0.116  0.977
S  0.545  0.455  0.750
S  0.116  0.884  0.023
S  0.455  0.545  0.250
S  0.116  0.884  0.477
S  0.884  0.116  0.523
Rb  0.778  0.222  0.250
Rb  0.222  0.778  0.750
Na  0.060  0.940  0.250
Na  0.940  0.060  0.750
Np  0.500  0.500  0.000
Np  0.500  0.500  0.500

Summary:
Its symmetry is Cmcm (63). The calculated total energy comes out at -69.6 eV/cell.

Record 8
Below is crystalline RbNaNpTe3 at its relaxed geometry, with properties calculated at the PBE level.

Cell: 8.277 8.277 12.045 Å, 90.00 90.00 147.36°
Element x y z (fractional)
Te  0.443  0.557  0.750
Te  0.872  0.128  0.474
Te  0.128  0.872  0.974
Te  0.872  0.128  0.026
Te  0.557  0.443  0.250
Te  0.128  0.872  0.526
Na  0.945  0.055  0.250
Na  0.055  0.945  0.750
Rb  0.763  0.237  0.750
Rb  0.237  0.763  0.250
Np  0.500  0.500  0.000
Np  0.500  0.500  0.500

Summary:
Its symmetry is Cmcm (63). The calculated total energy comes out at -58.6 eV/cell.

Record 9
Below is crystalline NaNpSi at its relaxed geometry, with properties calculated at the PBE level.

Cell: 4.798 4.798 4.798 Å, 60.00 60.00 60.00°
Element x y z (fractional)
Np  0.750  0.750  0.750
Si  0.000  0.000  0.000
Na  0.250  0.250  0.250

Summary:
Its symmetry is F-43m (216). The calculated total energy comes out at -18.2 eV/cell.

Record 10
Below is crystalline NaSmNp at its relaxed geometry, with properties calculated at the PBE level.

Cell: 5.241 5.241 5.241 Å, 60.00 60.00 60.00°
Element x y z (fractional)
Np  0.250  0.250  0.250
Sm  0.750  0.750  0.750
Na  0.000  0.000  0.000

Summary:
Its symmetry is F-43m (216). The value obtained for the offset from the most stable computed form is 0.0 meV/atom.

Record 11
Below is crystalline NaSrNp at its relaxed geometry, with properties calculated at the PBE level.

Cell: 5.642 5.642 5.642 Å, 60.00 60.00 60.00°
Element x y z (fractional)
Sr  0.750  0.750  0.750
Np  0.250  0.250  0.250
Na  0.000  0.000  0.000

Summary:
Its symmetry is F-43m (216). The calculated total energy comes out at -12.0 eV/cell.

Record 12
Below is crystalline NaTbNp at its relaxed geometry, with properties calculated at the PBE level.

Cell: 5.218 5.218 5.218 Å, 60.00 60.00 60.00°
Element x y z (fractional)
Np  0.250  0.250  0.250
Tb  0.750  0.750  0.750
Na  0.000  0.000  0.000

Summary:
Its symmetry is F-43m (216). The calculated total energy comes out at -14.7 eV/cell.

Record 13
Below is crystalline NaNpTc at its relaxed geometry, with properties calculated at the PBE level.

Cell: 4.575 4.575 4.575 Å, 60.00 60.00 60.00°
Element x y z (fractional)
Np  0.000  0.000  0.000
Tc  0.750  0.750  0.750
Na  0.250  0.250  0.250

Summary:
Its symmetry is F-43m (216). The calculated total energy comes out at -20.0 eV/cell.

Record 14
Below is crystalline NaNpTe at its relaxed geometry, with properties calculated at the PBE level.

Cell: 5.119 5.119 5.119 Å, 60.00 60.00 60.00°
Element x y z (fractional)
Te  0.000  0.000  0.000
Na  0.250  0.250  0.250
Np  0.750  0.750  0.750

Summary:
Its symmetry is F-43m (216). The calculated total energy comes out at -17.2 eV/cell.

Short version: M_tot = 6.00, 6.02, 5.87, 4.68, 6.72, 11.50, 3.00, 3.00, 3.99, 6.74, 5.86, 6.68, 3.01, 5.94 μB/f.u., in the order given.